Material: Ac2ScInSe6
Method: DFT, PBE
State: relaxed

The structure in extended XYZ format:
```
20
Lattice="7.040 0.000 0.000 0.000 7.773 0.000 -6.956 0.000 10.222" Properties=species:S:1:pos:R:3 pbc="T T T"
Ac -0.258 0.801 2.539
Ac -3.736 3.086 7.651
Ac 3.819 4.688 2.572
Ac 0.341 6.972 7.683
Sc 3.520 0.000 0.000
Sc 0.042 3.887 5.111
In -3.478 0.000 5.111
In 0.000 3.887 0.000
Se -5.670 1.405 9.673
Se -2.192 2.482 4.562
Se -4.663 5.350 9.642
Se -1.185 6.310 4.531
Se -2.606 0.196 7.682
Se 0.873 3.690 2.571
Se -0.789 4.083 7.652
Se 2.689 7.577 2.540
Se 1.268 1.463 5.691
Se 4.746 2.423 0.580
Se 2.275 5.291 5.661
Se 5.754 6.368 0.550
```

Properties
Crystal system: monoclinic
Formation energy without anion corrections, eV per atom: -1.57